DFT (GGA-PBE) results for a relaxed structure of BaNa2PuBr8.

Calculated values
D(E_F) in states/eV per atom: 0.49
DFT total energy in hartree per atom: -0.156
Formation energy without anion corrections in eV/atom: -1.5631
V in Å³ per cell: 459
Size of the total moment in μB/f.u.: 3.98

Unit cell a=7.0785 b=6.9514 c=9.3322 alpha=90.01 beta=90.00 gamma=90.82
Fractional coordinates of all 12 atoms:
Ba  0.0000  0.0000  0.5000
Na  0.5000  0.5001  0.7360
Na  0.5000  0.4999  0.2640
Pu  0.0000  0.0000  0.0000
Br  0.1645  0.7760  0.2125
Br  0.6926  0.7523  0.0000
Br  0.8356  0.2240  0.2125
Br  0.8355  0.2240  0.7875
Br  0.3074  0.2477  0.0000
Br  0.1644  0.7760  0.7875
Br  0.6521  0.7203  0.5000
Br  0.3479  0.2797  0.5000



DFT (GGA-PBE) results for a relaxed structure of Rb2BaNaBr.

Calculated values
D(E_F) in states/eV per atom: 0.76
DFT total energy in hartree per atom: -0.070
Formation energy without anion corrections in eV/atom: -0.5420
V in Å³ per cell: 310
Size of the total moment in μB/f.u.: 0.00

Unit cell a=6.8730 b=6.8730 c=6.5635 alpha=90.00 beta=90.00 gamma=90.00
Fractional coordinates of all 5 atoms:
Na  0.5000  0.5000  0.5000
Br  0.0000  0.0000  0.0000
Ba  0.0000  0.0000  0.5000
Rb  0.0000  0.5000  0.0000
Rb  0.5000  0.0000  0.0000



DFT (GGA-PBE) results for a relaxed structure of RbBaNaBr4.

Calculated values
D(E_F) in states/eV per atom: 0.00
DFT total energy in hartree per atom: -0.123
Formation energy without anion corrections in eV/atom: -1.8030
V in Å³ per cell: 514
Size of the total moment in μB/f.u.: 0.00

Unit cell a=7.6129 b=7.8750 c=9.3820 alpha=90.00 beta=113.94 gamma=90.00
Fractional coordinates of all 14 atoms:
Rb  0.6091  0.7500  0.2181
Rb  0.3909  0.2500  0.7819
Ba  0.1257  0.2500  0.2514
Ba  0.8743  0.7500  0.7486
Na  0.2477  0.7500  0.4955
Na  0.7523  0.2500  0.5045
Br  0.9383  0.2500  0.8766
Br  0.4186  0.7500  0.8373
Br  0.0617  0.7500  0.1234
Br  0.5814  0.2500  0.1627
Br  0.5000  0.5000  0.5000
Br  0.0000  0.0000  0.5000
Br  0.5000  0.0000  0.5000
Br  0.0000  0.5000  0.5000



DFT (GGA-PBE) results for a relaxed structure of Rb2BaNaBr5.

Calculated values
D(E_F) in states/eV per atom: 0.00
DFT total energy in hartree per atom: -0.122
Formation energy without anion corrections in eV/atom: -1.8282
V in Å³ per cell: 719
Size of the total moment in μB/f.u.: 0.16

Unit cell a=4.8580 b=10.3956 c=14.6413 alpha=90.00 beta=90.00 gamma=103.51
Fractional coordinates of all 18 atoms:
Rb  0.8780  0.7560  0.7986
Rb  0.1039  0.2077  0.6874
Rb  0.1220  0.2440  0.2986
Rb  0.8961  0.7923  0.1874
Ba  0.7877  0.5755  0.5103
Ba  0.2123  0.4245  0.0103
Na  0.5149  0.0299  0.9694
Na  0.4851  0.9701  0.4694
Br  0.3710  0.7420  0.0013
Br  0.6964  0.3928  0.8661
Br  0.5014  0.0027  0.7785
Br  0.2816  0.5633  0.6598
Br  0.9444  0.8887  0.5526
Br  0.6290  0.2580  0.5013
Br  0.3036  0.6072  0.3661
Br  0.4986  0.9973  0.2785
Br  0.7184  0.4367  0.1598
Br  0.0556  0.1113  0.0526



DFT (GGA-PBE) results for a relaxed structure of Ba2NaRhBr.

Calculated values
D(E_F) in states/eV per atom: 0.63
DFT total energy in hartree per atom: -0.123
Formation energy without anion corrections in eV/atom: -0.5076
V in Å³ per cell: 193
Size of the total moment in μB/f.u.: 0.00

Unit cell a=5.9702 b=5.9702 c=5.4186 alpha=90.00 beta=90.00 gamma=90.00
Fractional coordinates of all 5 atoms:
Na  0.0000  0.0000  0.5000
Rh  0.0000  0.0000  0.0000
Ba  0.0000  0.5000  0.0000
Ba  0.5000  0.0000  0.0000
Br  0.5000  0.5000  0.5000



DFT (GGA-PBE) results for a relaxed structure of BaNaScBr6.

Calculated values
D(E_F) in states/eV per atom: 0.00
DFT total energy in hartree per atom: -0.147
Formation energy without anion corrections in eV/atom: -1.8164
V in Å³ per cell: 645
Size of the total moment in μB/f.u.: 0.00

Unit cell a=7.3950 b=7.3950 c=13.6119 alpha=90.00 beta=90.00 gamma=120.00
Fractional coordinates of all 18 atoms:
Ba  0.0000  0.0000  0.0000
Ba  0.0000  0.0000  0.5000
Na  0.3333  0.6667  0.2500
Na  0.6667  0.3333  0.7500
Sc  0.6667  0.3333  0.2500
Sc  0.3333  0.6667  0.7500
Br  0.6517  0.6209  0.1361
Br  0.9692  0.3483  0.1361
Br  0.3483  0.9692  0.6361
Br  0.0308  0.6517  0.8639
Br  0.3791  0.3483  0.3639
Br  0.9692  0.6209  0.3639
Br  0.6209  0.9692  0.8639
Br  0.6517  0.0308  0.3639
Br  0.0308  0.3791  0.6361
Br  0.3791  0.0308  0.1361
Br  0.6209  0.6517  0.6361
Br  0.3483  0.3791  0.8639